Entry 1:
First-principles (PBE) data for crystalline Y4HPb at its relaxed geometry, as listed in Alexandria. Values from VASP.

```
&SYSTEM
  ibrav = 0, nat = 12, ntyp = 3
/
ATOMIC_SPECIES
Y 88.91 Y.upf
H 1.01 H.upf
Pb 207.20 Pb.upf
CELL_PARAMETERS angstrom
3.9339 -8.0079 0.0000
3.9339 8.0079 0.0000
-2.9808 0.0000 4.9652
ATOMIC_POSITIONS angstrom
Y 0.2292 4.5032 4.2982
Y -0.1544 1.0657 3.0585
Y 1.3361 -1.0657 0.5759
Y 3.1674 4.5032 3.1496
Y 1.7197 -4.5032 1.8156
Y 3.5510 1.0657 4.3893
Y 5.0414 -1.0657 1.9067
Y 4.6578 -4.5032 0.6670
H 3.1887 7.8280 1.2413
H 1.6983 -7.8280 3.7239
Pb 3.1887 1.5914 1.2413
Pb 1.6983 -1.5914 3.7239
```

Summary:
E_tot in eV per cell: -68.97
SG: No. 15

Entry 2:
First-principles (PBE) data for crystalline Pm3Cu2Ge7 at its relaxed geometry, as listed in Alexandria. Values from VASP.

```
&SYSTEM
  ibrav = 0, nat = 12, ntyp = 3
/
ATOMIC_SPECIES
Pm 145.00 Pm.upf
Cu 63.55 Cu.upf
Ge 72.64 Ge.upf
CELL_PARAMETERS angstrom
4.3393 0.0000 0.0000
0.0000 4.2623 0.0000
-2.1140 0.0000 13.0453
ATOMIC_POSITIONS angstrom
Pm 0.0000 0.0000 0.0000
Pm 0.0008 2.1312 8.2512
Pm 2.2246 2.1312 4.7941
Cu -0.0581 0.0000 3.4714
Cu 2.2835 0.0000 9.5739
Ge 0.2820 2.1312 2.2779
Ge 0.0334 0.0000 5.8581
Ge 0.0698 0.0000 10.7605
Ge 2.1697 2.1312 0.0000
Ge 2.1555 0.0000 2.2848
Ge 2.1919 0.0000 7.1871
Ge 1.9433 2.1312 10.7673
```

Summary:
Energy of formation in eV per atom: -0.496
SG: No. 10